No. 1
A relaxed YBi12O20 crystal. Source: the Alexandria database, functional PBE-GGA.

- V: 16.67 Å³/atom
- Crystal system: cubic
- Formation energy without anion corrections: -1328 meV per atom
- SG: No. 197

Unit cell a=8.9405 b=8.9405 c=8.9405 alpha=109.47 beta=109.47 gamma=109.47
Last column: nearest neighbours and their distance in Å.
Fractional positions:
1 Y 0.0000 0.0000 0.0000  4 O 2.21
2 Bi 0.1434 0.8296 0.3218  3 O 2.10-2.32
3 Bi 0.1704 0.3138 0.4922  3 O 2.10-2.32
4 Bi 0.1784 0.6862 0.8566  3 O 2.10-2.32
5 Bi 0.3138 0.4922 0.1704  3 O 2.10-2.32
6 Bi 0.3218 0.1434 0.8296  3 O 2.10-2.32
7 Bi 0.4922 0.1704 0.3138  3 O 2.10-2.32
8 Bi 0.5078 0.8216 0.6782  3 O 2.10-2.32
9 Bi 0.6782 0.5078 0.8216  3 O 2.10-2.32
10 Bi 0.6862 0.8566 0.1784  3 O 2.10-2.32
11 Bi 0.8216 0.6782 0.5078  3 O 2.10-2.32
12 Bi 0.8296 0.3218 0.1434  3 O 2.10-2.32
13 Bi 0.8566 0.1784 0.6862  3 O 2.10-2.32
14 O 0.0000 0.0000 0.3346  3 Bi 2.29
15 O 0.0000 0.0000 0.7527  1 Y 2.21, 3 Bi 2.46
16 O 0.0000 0.3346 0.0000  3 Bi 2.29
17 O 0.0000 0.7527 0.0000  1 Y 2.21, 3 Bi 2.46
18 O 0.1131 0.3555 0.7337  2 Bi 2.10-2.32
19 O 0.2424 0.8869 0.6206  2 Bi 2.10-2.32
20 O 0.2473 0.2473 0.2473  1 Y 2.21, 3 Bi 2.46
21 O 0.2663 0.6218 0.3794  2 Bi 2.10-2.32
22 O 0.3346 0.0000 0.0000  3 Bi 2.29
23 O 0.3555 0.7337 0.1131  2 Bi 2.10-2.32
24 O 0.3782 0.6445 0.7576  2 Bi 2.10-2.32
25 O 0.3794 0.2663 0.6218  2 Bi 2.10-2.32
26 O 0.6206 0.2424 0.8869  2 Bi 2.10-2.32
27 O 0.6218 0.3794 0.2663  2 Bi 2.10-2.32
28 O 0.6445 0.7576 0.3782  2 Bi 2.10-2.32
29 O 0.6654 0.6654 0.6654  3 Bi 2.29
30 O 0.7337 0.1131 0.3555  2 Bi 2.10-2.32
31 O 0.7527 0.0000 0.0000  1 Y 2.21, 3 Bi 2.46
32 O 0.7576 0.3782 0.6445  2 Bi 2.10-2.32
33 O 0.8869 0.6206 0.2424  2 Bi 2.10-2.32

=====

No. 2
A relaxed Y2Bi2O7 crystal. Source: the Alexandria database, functional PBE-GGA.

- Distance to the lowest polymorph of the same formula: 47.2 meV/atom
- V: 14.89 Å³/atom
- Crystal system: cubic
- Formation energy without anion corrections: -2083 meV per atom
- SG: No. 227

Unit cell a=7.7374 b=7.7374 c=7.7374 alpha=60.00 beta=60.00 gamma=60.00
Last column: nearest neighbours and their distance in Å.
Fractional positions:
1 Y 0.0000 0.0000 0.0000  8 O 2.37-2.52
2 Y 0.0000 0.0000 0.5000  8 O 2.37-2.52
3 Y 0.0000 0.5000 0.0000  8 O 2.37-2.52
4 Y 0.5000 0.0000 0.0000  8 O 2.37-2.52
5 Bi 0.0000 0.5000 0.5000  6 O 2.23
6 Bi 0.5000 0.0000 0.5000  6 O 2.23
7 Bi 0.5000 0.5000 0.0000  6 O 2.23
8 Bi 0.5000 0.5000 0.5000  6 O 2.23
9 O 0.1250 0.1250 0.1250  4 Y 2.37
10 O 0.1477 0.1477 0.6023  2 Bi 2.23
11 O 0.1477 0.6023 0.1477  2 Bi 2.23
12 O 0.1477 0.6023 0.6023  2 Bi 2.23
13 O 0.3977 0.3977 0.8523  2 Bi 2.23
14 O 0.3977 0.8523 0.3977  2 Bi 2.23
15 O 0.3977 0.8523 0.8523  2 Bi 2.23
16 O 0.6023 0.1477 0.1477  2 Bi 2.23
17 O 0.6023 0.1477 0.6023  2 Bi 2.23
18 O 0.6023 0.6023 0.1477  2 Bi 2.23
19 O 0.8523 0.3977 0.3977  2 Bi 2.23
20 O 0.8523 0.3977 0.8523  2 Bi 2.23
21 O 0.8523 0.8523 0.3977  2 Bi 2.23
22 O 0.8750 0.8750 0.8750  4 Y 2.37

=====

No. 3
A relaxed YBi2O crystal. Source: the Alexandria database, functional PBE-GGA.

- V: 29.11 Å³/atom
- Crystal system: tetragonal
- Formation energy without anion corrections: -881 meV per atom
- SG: No. 122

Unit cell a=7.6882 b=7.6882 c=7.6882 alpha=94.42 beta=94.42 gamma=147.77
Last column: nearest neighbours and their distance in Å.
Fractional positions:
1 Y 0.0000 0.0000 0.0000  2 O 2.13
2 Y 0.7500 0.2500 0.5000  2 O 2.13
3 Bi 0.2318 0.6250 0.1068  2 O 3.06, 2 Bi 3.09, 2 Y 3.41
4 Bi 0.3750 0.4818 0.6068  2 O 3.06, 2 Bi 3.09, 2 Y 3.41
5 Bi 0.5182 0.1250 0.8932  2 O 3.06, 2 Bi 3.09, 2 Y 3.41
6 Bi 0.8750 0.7682 0.3932  2 O 3.06, 2 Bi 3.09, 2 Y 3.41
7 O 0.2500 0.7500 0.5000  2 Y 2.13
8 O 0.5000 0.5000 0.0000  2 Y 2.13

=====

No. 4
A relaxed Y12Bi3O5 crystal. Source: the Alexandria database, functional PBE-GGA.

- V: 24.50 Å³/atom
- Crystal system: cubic
- Formation energy without anion corrections: -1620 meV per atom
- SG: No. 230

Unit cell a=13.6544 b=13.6544 c=13.6544 alpha=109.47 beta=109.47 gamma=109.47
Last column: nearest neighbours and their distance in Å.
Fractional positions:
1 Y 0.0033 0.1927 0.1039  1 O 2.21
2 Y 0.0033 0.3106 0.8994  1 O 2.21
3 Y 0.0888 0.6927 0.6894  1 O 2.21
4 Y 0.0888 0.8961 0.3994  1 O 2.21
5 Y 0.1006 0.6039 0.4112  1 O 2.21
6 Y 0.1006 0.9967 0.6894  1 O 2.21
7 Y 0.1039 0.0033 0.1927  1 O 2.21
8 Y 0.1039 0.6006 0.9112  1 O 2.21
9 Y 0.1894 0.1927 0.5888  1 O 2.21
10 Y 0.1894 0.4967 0.6006  1 O 2.21
11 Y 0.1927 0.1039 0.0033  1 O 2.21
12 Y 0.1927 0.5888 0.1894  1 O 2.21
13 Y 0.3073 0.3106 0.9112  1 O 2.21
14 Y 0.3073 0.4967 0.3961  1 O 2.21
15 Y 0.3106 0.8994 0.0033  1 O 2.21
16 Y 0.3106 0.9112 0.3073  1 O 2.21
17 Y 0.3961 0.3073 0.4967  1 O 2.21
18 Y 0.3961 0.5888 0.8994  1 O 2.21
19 Y 0.3994 0.0888 0.8961  1 O 2.21
20 Y 0.3994 0.8106 0.5033  1 O 2.21
21 Y 0.4112 0.1006 0.6039  1 O 2.21
22 Y 0.4112 0.8106 0.8073  1 O 2.21
23 Y 0.4967 0.3961 0.3073  1 O 2.21
24 Y 0.4967 0.6006 0.1894  1 O 2.21
25 Y 0.5033 0.3994 0.8106  1 O 2.21
26 Y 0.5033 0.6039 0.6927  1 O 2.21
27 Y 0.5888 0.1894 0.1927  1 O 2.21
28 Y 0.5888 0.8994 0.3961  1 O 2.21
29 Y 0.6006 0.1894 0.4967  1 O 2.21
30 Y 0.6006 0.9112 0.1039  1 O 2.21
31 Y 0.6039 0.4112 0.1006  1 O 2.21
32 Y 0.6039 0.6927 0.5033  1 O 2.21
33 Y 0.6894 0.0888 0.6927  1 O 2.21
34 Y 0.6894 0.1006 0.9967  1 O 2.21
35 Y 0.6927 0.5033 0.6039  1 O 2.21
36 Y 0.6927 0.6894 0.0888  1 O 2.21
37 Y 0.8073 0.4112 0.8106  1 O 2.21
38 Y 0.8073 0.8961 0.9967  1 O 2.21
39 Y 0.8106 0.5033 0.3994  1 O 2.21
40 Y 0.8106 0.8073 0.4112  1 O 2.21
41 Y 0.8961 0.3994 0.0888  1 O 2.21
42 Y 0.8961 0.9967 0.8073  1 O 2.21
43 Y 0.8994 0.0033 0.3106  1 O 2.21
44 Y 0.8994 0.3961 0.5888  1 O 2.21
45 Y 0.9112 0.1039 0.6006  1 O 2.21
46 Y 0.9112 0.3073 0.3106  1 O 2.21
47 Y 0.9967 0.6894 0.1006  1 O 2.21
48 Y 0.9967 0.8073 0.8961  1 O 2.21
49 Bi 0.1250 0.2500 0.3750  8 Y 3.19-3.30
50 Bi 0.1250 0.3750 0.7500  8 Y 3.19-3.30
51 Bi 0.2500 0.3750 0.1250  8 Y 3.19-3.30
52 Bi 0.2500 0.8750 0.6250  8 Y 3.19-3.30
53 Bi 0.3750 0.1250 0.2500  8 Y 3.19-3.30
54 Bi 0.3750 0.7500 0.1250  8 Y 3.19-3.30
55 Bi 0.6250 0.2500 0.8750  8 Y 3.19-3.30
56 Bi 0.6250 0.8750 0.7500  8 Y 3.19-3.30
57 Bi 0.7500 0.1250 0.3750  8 Y 3.19-3.30
58 Bi 0.7500 0.6250 0.8750  8 Y 3.19-3.30
59 Bi 0.8750 0.6250 0.2500  8 Y 3.19-3.30
60 Bi 0.8750 0.7500 0.6250  8 Y 3.19-3.30
61 O 0.0000 0.0000 0.0000  6 Y 2.52
62 O 0.0000 0.0000 0.5000  6 Y 2.52
63 O 0.0000 0.5000 0.0000  6 Y 2.52
64 O 0.0000 0.5000 0.5000  6 Y 2.52
65 O 0.1250 0.7500 0.8750  4 Y 2.21
66 O 0.1250 0.8750 0.2500  4 Y 2.21
67 O 0.2500 0.1250 0.8750  4 Y 2.21
68 O 0.2500 0.6250 0.3750  4 Y 2.21
69 O 0.3750 0.2500 0.6250  4 Y 2.21
70 O 0.3750 0.6250 0.7500  4 Y 2.21
71 O 0.5000 0.0000 0.0000  6 Y 2.52
72 O 0.5000 0.0000 0.5000  6 Y 2.52
73 O 0.5000 0.5000 0.0000  6 Y 2.52
74 O 0.5000 0.5000 0.5000  6 Y 2.52
75 O 0.6250 0.3750 0.2500  4 Y 2.21
76 O 0.6250 0.7500 0.3750  4 Y 2.21
77 O 0.7500 0.3750 0.6250  4 Y 2.21
78 O 0.7500 0.8750 0.1250  4 Y 2.21
79 O 0.8750 0.1250 0.7500  4 Y 2.21
80 O 0.8750 0.2500 0.1250  4 Y 2.21

=====

No. 5
A relaxed Y3BiO4 crystal. Source: the Alexandria database, functional PBE-GGA.

- V: 19.45 Å³/atom
- Crystal system: tetragonal
- Formation energy without anion corrections: -2846 meV per atom
- SG: No. 123

Unit cell a=3.9072 b=3.9072 c=10.1909 alpha=90.00 beta=90.00 gamma=90.00
Last column: nearest neighbours and their distance in Å.
Fractional positions:
1 Y 0.0000 0.0000 0.0000  8 O 2.40
2 Y 0.5000 0.5000 0.2291  4 O 2.17
3 Y 0.5000 0.5000 0.7709  4 O 2.17
4 Bi 0.0000 0.0000 0.5000  8 Y 3.91, 4 Bi 3.91, 8 O 4.19
5 O 0.0000 0.5000 0.1367  4 Y 2.17-2.40
6 O 0.0000 0.5000 0.8633  4 Y 2.17-2.40
7 O 0.5000 0.0000 0.1367  4 Y 2.17-2.40
8 O 0.5000 0.0000 0.8633  4 Y 2.17-2.40

=====

No. 6
A relaxed Y2Bi2O7 crystal. Source: the Alexandria database, functional PBE-GGA.

- Distance to the lowest polymorph of the same formula: 0.0 meV/atom
- V: 15.09 Å³/atom
- Crystal system: monoclinic
- Formation energy without anion corrections: -2130 meV per atom
- SG: No. 4

Unit cell a=8.5217 b=5.6295 c=13.9865 alpha=90.00 beta=98.36 gamma=90.00
Last column: nearest neighbours and their distance in Å.
Fractional positions:
1 Y 0.1169 0.0000 0.0436  6 O 2.27-2.38
2 Y 0.2735 0.4535 0.8705  6 O 2.21-2.38
3 Y 0.3136 0.8897 0.6487  7 O 2.24-2.50
4 Y 0.3213 0.4611 0.4519  5 O 2.23-2.47
5 Y 0.6787 0.9611 0.5481  5 O 2.23-2.47
6 Y 0.6864 0.3897 0.3513  7 O 2.24-2.50
7 Y 0.7265 0.9535 0.1295  6 O 2.21-2.38
8 Y 0.8831 0.5000 0.9564  6 O 2.27-2.38
9 Bi 0.0041 0.9379 0.7917  5 O 2.23-2.46
10 Bi 0.0086 0.4422 0.5996  6 O 2.10-2.26
11 Bi 0.3515 0.9567 0.2910  5 O 2.28-2.47
12 Bi 0.4314 0.4666 0.1537  6 O 2.05-2.29
13 Bi 0.5686 0.9666 0.8463  6 O 2.05-2.29
14 Bi 0.6485 0.4567 0.7090  5 O 2.28-2.47
15 Bi 0.9914 0.9422 0.4004  6 O 2.10-2.26
16 Bi 0.9959 0.4379 0.2083  5 O 2.23-2.46
17 O 0.0555 0.2328 0.9077  3 Y 2.27-2.36, 1 Bi 2.32
18 O 0.1029 0.7226 0.9246  3 Y 2.27-2.35, 1 Bi 2.28
19 O 0.1224 0.7219 0.5219  2 Bi 2.22-2.26, 1 Y 2.42
20 O 0.1373 0.7116 0.3284  1 Bi 2.15
21 O 0.1455 0.6143 0.7221  1 Bi 2.16, 1 Y 2.38
22 O 0.1638 0.1889 0.3721  1 Bi 2.10, 1 Y 2.23
23 O 0.2144 0.2431 0.5819  1 Bi 2.13, 1 Y 2.31
24 O 0.2142 0.2629 0.1716  2 Bi 2.22-2.23, 1 Y 2.38
25 O 0.3084 0.7945 0.1404  2 Bi 2.12-2.28, 1 Y 2.28
26 O 0.3281 0.0965 0.8082  1 Bi 2.17, 1 Y 2.27
27 O 0.3945 0.3441 0.0140  1 Bi 2.05, 1 Y 2.21
28 O 0.4393 0.5642 0.3136  2 Bi 2.29-2.34, 2 Y 2.31-2.38
29 O 0.4516 0.6560 0.7833  2 Bi 2.14-2.38, 1 Y 2.37
30 O 0.4676 0.7128 0.5531  3 Y 2.24-2.29
31 O 0.5324 0.2128 0.4469  3 Y 2.24-2.29
32 O 0.5484 0.1560 0.2167  2 Bi 2.14-2.38, 1 Y 2.37
33 O 0.5607 0.0642 0.6864  2 Bi 2.29-2.34, 2 Y 2.31-2.38
34 O 0.6055 0.8441 0.9860  1 Bi 2.05, 1 Y 2.21
35 O 0.6719 0.5965 0.1918  1 Bi 2.17, 1 Y 2.27
36 O 0.6916 0.2945 0.8596  2 Bi 2.12-2.28, 1 Y 2.28
37 O 0.7856 0.7431 0.4181  1 Bi 2.13, 1 Y 2.31
38 O 0.7858 0.7629 0.8284  2 Bi 2.22-2.23, 1 Y 2.38
39 O 0.8362 0.6889 0.6279  1 Bi 2.10, 1 Y 2.23
40 O 0.8545 0.1143 0.2779  1 Bi 2.16, 1 Y 2.38
41 O 0.8627 0.2116 0.6716  1 Bi 2.15
42 O 0.8776 0.2219 0.4781  2 Bi 2.22-2.26, 1 Y 2.42
43 O 0.8971 0.2226 0.0754  3 Y 2.27-2.35, 1 Bi 2.28
44 O 0.9445 0.7328 0.0923  3 Y 2.27-2.36, 1 Bi 2.32